1.
The following is a GGA-PBEsol calculation of an optimized crystal structure of NiTe4Cl, from the Alexandria database.

The structure in extended XYZ format:
```
6
Lattice="6.093 0.000 0.000 3.047 5.277 0.000 3.047 1.759 4.975" Properties=species:S:1:pos:R:3 pbc="T T T"
Te 6.093 5.281 1.864
Te 6.093 3.518 4.357
Te 7.620 2.637 1.864
Te 4.567 2.637 1.864
Cl 9.140 5.277 3.731
Ni 0.000 0.000 0.000
```

Output
Space group   F-43m
Uncorrected energy   -3.075 eV/atom
Formation energy (no corrections)   637 meV/atom

---

2.
The following is a GGA-PBEsol calculation of an optimized crystal structure of NaTiBe2Os, from the Alexandria database.

The structure in extended XYZ format:
```
5
Lattice="3.950 0.000 0.000 0.000 3.950 0.000 0.000 0.000 4.439" Properties=species:S:1:pos:R:3 pbc="T T T"
Na 0.000 0.000 0.000
Be 1.975 0.000 0.000
Be 0.000 1.975 0.000
Ti 0.000 0.000 2.220
Os 1.975 1.975 2.220
```

Output
Space group   P4/mmm
Energy relative to the elements   179 kJ/mol of atoms
Uncorrected energy   -4.131 eV/atom

---

3.
The following is a GGA-PBEsol calculation of an optimized crystal structure of Sc2BeHg, from the Alexandria database.

The structure in extended XYZ format:
```
4
Lattice="4.668 0.000 0.000 2.334 4.042 0.000 2.334 1.347 3.811" Properties=species:S:1:pos:R:3 pbc="T T T"
Sc 7.002 4.042 2.858
Sc 0.000 0.000 0.000
Be 4.668 2.695 1.906
Hg 2.334 1.347 0.953
```

Output
Space group   F-43m
Energy relative to the elements   11 kJ/mol of atoms
Uncorrected energy   -4.332 eV/atom

---

4.
The following is a GGA-PBEsol calculation of an optimized crystal structure of Cd2InAg, from the Alexandria database.

The structure in extended XYZ format:
```
4
Lattice="3.057 0.000 0.000 0.000 4.966 -0.100 -1.529 -0.729 5.378" Properties=species:S:1:pos:R:3 pbc="T T T"
Ag 0.000 2.483 -0.050
In 1.529 0.000 0.000
Cd 0.000 0.904 2.822
Cd 1.529 3.333 2.457
```

Output
Space group   C2/m
Energy relative to the elements   1 kJ/mol of atoms
Uncorrected energy   -2.167 eV/atom